DFT (GGA+U) results for a relaxed structure of CoCl3O.

POSCAR file:
```
CoCl3O
1.0
-2.661 3.441 -1.722
-1.789 0.747 4.258
3.406 3.080 0.891
Co O Cl
1 1 3
Cartesian
0.000 0.000 0.000 Co
-0.522 3.634 1.713 O
-0.894 0.373 2.129 Cl
1.703 1.540 0.445 Cl
-1.331 1.720 -0.861 Cl
```

Output
V ... 102 Å³/cell
E above lowest polymorph ... 0 meV/atom

***

DFT (GGA+U) results for a relaxed structure of CoCl3O.

POSCAR file:
```
CoCl3O
1.0
4.493 0.000 0.000
0.000 4.493 0.000
0.000 0.000 4.493
Co O Cl
1 1 3
Cartesian
2.246 2.246 2.246 Co
0.000 0.000 0.000 O
0.000 2.246 0.000 Cl
0.000 0.000 2.246 Cl
2.246 0.000 0.000 Cl
```

Output
V ... 91 Å³/cell
E above lowest polymorph ... 199 meV/atom

***

DFT (GGA+U) results for a relaxed structure of Co3Cl2O2.

POSCAR file:
```
Co3Cl2O2
1.0
-1.493 3.009 -0.355
-6.258 -1.236 -0.223
-4.022 0.471 4.841
Co Cl O
3 2 2
Cartesian
0.000 0.000 0.000 Co
-8.658 1.791 3.381 Co
-3.116 0.454 0.882 Co
-4.475 1.880 2.615 Cl
-7.298 0.365 1.648 Cl
-3.218 2.156 -0.336 O
-8.556 0.089 4.599 O
```

Output
V ... 105 Å³/cell
Calculated total energy ... -4.9194 eV per atom

***

DFT (GGA+U) results for a relaxed structure of Pr6CoCl3O2.

POSCAR file:
```
Pr6CoCl3O2
1.0
-4.579 1.570 4.431
1.075 -6.281 -1.569
6.227 1.086 4.447
Pr Co Cl O
6 1 3 2
Cartesian
1.338 -1.269 6.814 Pr
-1.257 -3.115 2.891 Pr
1.385 -2.357 0.496 Pr
3.376 -4.099 4.651 Pr
3.980 -0.510 4.419 Pr
-0.653 0.473 2.659 Pr
0.000 0.000 0.000 Co
3.305 -4.512 1.592 Cl
-0.582 0.886 5.718 Cl
1.361 -1.813 3.655 Cl
-0.804 -3.672 0.425 O
-2.700 -1.040 2.437 O
```

Output
V ... 276 Å³/cell
Calculated total energy ... -5.6597 eV per atom

***

DFT (GGA+U) results for a relaxed structure of CoRuCl2O.

POSCAR file:
```
CoRuCl2O
1.0
-1.688 1.605 3.835
1.243 -4.538 2.447
4.023 1.678 1.068
Ru Co O Cl
1 1 1 2
Cartesian
0.000 0.000 0.000 Ru
0.622 -2.269 1.223 Co
1.789 -0.627 3.675 O
2.011 0.839 0.534 Cl
-0.844 0.803 1.918 Cl
```

Output
V ... 107 Å³/cell
Calculated total energy ... -3.6842 eV per atom

***

DFT (GGA+U) results for a relaxed structure of CoS2ClO.

POSCAR file:
```
CoS2ClO
1.0
-2.939 -2.882 0.862
2.406 -2.975 -1.745
1.954 -0.786 4.034
S Co O Cl
2 1 1 1
Cartesian
1.203 -1.488 -0.872 S
-1.469 -1.441 0.431 S
0.710 -3.322 1.575 Co
0.000 0.000 0.000 O
0.977 -0.393 2.017 Cl
```

Output
V ... 80 Å³/cell
E above lowest polymorph ... 0 meV/atom

***

DFT (GGA+U) results for a relaxed structure of CoS2ClO.

POSCAR file:
```
CoS2ClO
1.0
-0.597 3.820 -2.212
1.542 -1.911 -3.716
-4.325 -1.322 -1.115
S Co O Cl
2 1 1 1
Cartesian
0.771 -0.956 -1.858 S
-0.298 1.910 -1.106 S
0.000 0.000 0.000 Co
-1.690 0.293 -3.522 O
-2.163 -0.661 -0.558 Cl
```

Output
V ... 92 Å³/cell
E above lowest polymorph ... 178 meV/atom

***

DFT (GGA+U) results for a relaxed structure of YCo3Se2ClO8.

POSCAR file:
```
YCo3Se2ClO8
1.0
-5.506 -2.857 -1.677
3.233 -6.424 0.328
-2.437 -0.753 9.288
Y Co Se Cl O
2 6 4 2 16
Cartesian
0.856 -1.701 0.087 Y
-1.595 -6.528 4.046 Y
-3.205 -1.279 6.547 Co
-1.986 -0.903 1.903 Co
-5.958 -2.708 5.708 Co
-3.306 -3.129 3.873 Co
2.567 -5.100 0.260 Co
-4.739 -2.331 1.064 Co
-3.396 -4.689 6.827 Se
0.220 -4.294 6.593 Se
-1.881 -4.220 1.054 Se
1.142 -4.009 3.079 Se
-0.794 -1.221 4.687 Cl
0.055 -7.009 -0.554 Cl
-2.102 -0.656 8.019 O
-0.262 -4.347 8.267 O
-2.279 -4.439 2.736 O
-2.775 -3.171 7.393 O
0.385 -5.569 3.033 O
-2.800 -7.221 2.063 O
-1.074 -8.327 5.402 O
-5.096 -4.375 6.686 O
-3.445 -3.865 0.393 O
-3.586 -7.464 5.058 O
-0.330 -0.108 1.269 O
-0.408 -8.121 2.864 O
-0.401 -5.811 6.028 O
-1.123 -2.660 1.100 O
-2.914 -4.635 5.154 O
1.541 -3.790 1.397 O
```

Output
V ... 446 Å³/cell
Calculated total energy ... -6.0395 eV per atom

***

DFT (GGA+U) results for a relaxed structure of Sr3Co2Cl2O5.

POSCAR file:
```
Sr3Co2Cl2O5
1.0
-1.982 1.982 12.087
1.982 -1.982 12.087
1.982 1.982 -12.087
Sr Co Cl O
3 2 2 5
Cartesian
0.000 0.000 3.688 Sr
0.000 0.000 20.487 Sr
0.000 0.000 0.000 Sr
0.000 0.000 10.231 Co
0.000 0.000 13.944 Co
0.000 0.000 16.952 Cl
0.000 0.000 7.222 Cl
1.982 0.000 2.090 O
0.000 1.982 9.997 O
0.000 1.982 2.090 O
0.000 0.000 12.087 O
1.982 0.000 9.997 O
```

Output
V ... 190 Å³/cell
Calculated total energy ... -5.5731 eV per atom

***

DFT (GGA+U) results for a relaxed structure of Sr2CoClO3.

POSCAR file:
```
Sr2CoClO3
1.0
-2.648 2.309 -1.663
-1.220 -2.974 -2.186
-9.898 -3.725 10.588
Sr Co Cl O
4 2 2 6
Cartesian
-1.523 -1.831 -0.117 Sr
-10.309 -2.227 8.780 Sr
-3.939 -2.740 2.468 Sr
-7.893 -1.318 6.195 Sr
-3.355 0.390 1.341 Co
-8.477 -4.447 7.322 Co
-5.466 -0.404 3.598 Cl
-6.367 -3.653 5.065 Cl
-9.789 -4.941 8.725 O
-2.043 0.884 -0.062 O
-9.605 -3.219 6.281 O
-4.161 -1.170 0.457 O
-2.227 -0.838 2.382 O
-7.671 -2.887 8.206 O
```

Output
V ... 226 Å³/cell
Calculated total energy ... -5.6738 eV per atom

***

DFT (GGA+U) results for a relaxed structure of CoTcClO4.

POSCAR file:
```
CoTcClO4
1.0
6.795 0.569 0.149
2.788 6.223 0.149
2.118 1.501 7.011
Co Tc Cl O
2 2 2 8
Cartesian
3.065 2.172 5.815 Co
8.636 6.121 1.494 Co
7.711 5.465 5.090 Tc
3.990 2.828 2.219 Tc
0.961 0.681 1.179 Cl
10.739 7.612 6.130 Cl
3.458 2.451 3.851 O
8.242 5.842 3.458 O
2.729 3.702 1.364 O
5.380 3.813 2.297 O
7.303 6.944 5.945 O
4.397 1.349 1.364 O
6.320 4.480 5.012 O
8.971 4.591 5.945 O
```

Output
V ... 283 Å³/cell
Calculated total energy ... -6.4952 eV per atom

***

DFT (GGA+U) results for a relaxed structure of Co6Te3Cl2O12.

POSCAR file:
```
Co6Te3Cl2O12
1.0
-4.833 -6.059 -3.530
4.169 0.964 -7.363
12.411 -13.003 5.326
Co Te Cl O
24 12 8 48
Cartesian
11.702 -11.990 -1.663 Co
0.986 -9.077 -2.573 Co
13.459 -11.435 1.199 Co
8.022 -10.325 0.208 Co
4.826 -10.617 1.343 Co
7.906 -12.152 -3.982 Co
8.277 -14.731 -0.372 Co
9.327 -7.105 -0.574 Co
10.128 -11.832 2.392 Co
10.762 -9.021 -2.994 Co
1.620 -6.265 -7.959 Co
9.852 -14.889 -4.427 Co
1.896 -3.209 -1.140 Co
3.121 -0.604 -3.237 Co
5.165 -13.456 -0.779 Co
2.753 -8.445 0.453 Co
8.958 -14.946 3.116 Co
-1.380 -4.115 -1.320 Co
3.842 -5.946 -1.585 Co
0.046 -6.107 -3.904 Co
7.254 -4.933 -1.463 Co
3.726 -7.773 -5.775 Co
3.471 -3.366 -5.195 Co
6.583 -4.642 -4.788 Co
7.554 -7.717 -3.449 Te
5.706 -10.615 -6.217 Te
-0.415 -3.465 -7.493 Te
6.041 -7.482 0.650 Te
5.187 -2.769 -2.350 Te
6.892 -12.781 2.229 Te
-0.249 -1.630 -3.399 Te
11.393 -9.270 0.313 Te
2.495 -0.322 -6.599 Te
-3.158 -4.773 -4.293 Te
0.686 -6.280 -0.434 Te
4.194 -10.380 -2.118 Te
10.637 -11.144 4.564 Cl
10.305 -13.691 -0.882 Cl
4.431 -4.643 1.901 Cl
1.774 -1.859 0.761 Cl
7.980 -8.360 3.424 Cl
4.100 -7.190 -3.545 Cl
1.443 -4.406 -4.685 Cl
7.648 -10.908 -2.022 Cl
8.250 -7.792 -5.251 O
11.285 -10.104 -1.470 O
9.256 -7.780 -2.583 O
4.020 -3.706 -7.055 O
-1.551 -5.555 -4.965 O
0.106 -2.702 -1.859 O
7.332 -10.696 -5.218 O
9.455 -8.986 0.385 O
12.158 -12.231 -3.563 O
7.197 -6.980 -0.816 O
2.762 -1.504 -5.123 O
-0.410 -5.866 -2.004 O
3.241 -2.551 -2.420 O
5.079 -3.603 -4.133 O
4.367 -12.281 -2.180 O
1.105 -4.357 -8.229 O
2.293 -9.111 -5.952 O
1.620 -1.621 -7.734 O
0.463 -7.993 -4.097 O
11.379 -11.077 1.072 O
9.588 -12.967 -4.506 O
6.291 -9.366 0.456 O
3.498 -10.306 -0.316 O
13.298 -12.542 -0.602 O
5.835 -5.822 -6.176 O
4.551 -11.118 -4.751 O
10.108 -10.299 -4.342 O
5.457 -8.731 -6.023 O
4.416 -7.402 -0.349 O
5.182 -4.509 -1.449 O
11.642 -15.396 -3.708 O
2.160 -5.130 -1.061 O
7.381 -5.816 -3.387 O
2.492 -10.317 -2.984 O
3.382 -6.465 -7.169 O
8.507 -15.546 -3.147 O
6.566 -13.588 -4.118 O
-2.284 -3.474 -3.159 O
5.913 -12.276 0.609 O
8.986 -16.594 -0.444 O
6.669 -14.495 -1.434 O
7.728 -14.392 1.488 O
8.366 -11.632 1.602 O
10.643 -13.740 2.662 O
1.023 -0.238 -2.966 O
-1.686 -4.856 -7.926 O
1.639 -7.799 -1.225 O
0.369 -7.020 -6.639 O
```

Output
V ... 1360 Å³/cell
Calculated total energy ... -5.5531 eV per atom

***

DFT (GGA+U) results for a relaxed structure of Ti2Co2Cl2O5.

POSCAR file:
```
Ti2Co2Cl2O5
1.0
3.698 0.000 0.000
0.000 3.698 0.000
-1.849 -1.849 12.712
Ti Co Cl O
2 2 2 5
Cartesian
0.000 0.000 1.817 Ti
1.849 1.849 10.895 Ti
0.000 0.000 9.214 Co
1.849 1.849 3.498 Co
0.000 0.000 4.767 Cl
1.849 1.849 7.945 Cl
0.000 0.000 0.000 O
1.849 0.000 2.340 O
1.849 0.000 10.372 O
0.000 1.849 2.340 O
0.000 1.849 10.372 O
```

Output
V ... 174 Å³/cell
Calculated total energy ... -6.8792 eV per atom